Entry from Alexandria via LeMat-Bulk: a relaxed SrPrNd2 crystal (GGA-PBE).

Properties
- Fermi-level density of states (states/eV/f.u.) = 6.42
- energy above the lowest structure with this stoichiometry (eV/atom) = 0.092
- formation enthalpy at 0 K (meV/atom) = 174.5

a = 3.7132 Å, b = 3.7132 Å, c = 39.6163 Å
α = 90.00°, β = 90.00°, γ = 120.00°
Space group R-3m (No. 166, hexagonal axes)
Asymmetric unit:
Sr1 0.0000 0.0000 0.0000 [3 per cell]
Pr1 0.0000 0.0000 0.5000 [3 per cell]
Nd1 0.0000 0.0000 0.0919 [6 per cell]